# LiZr2Nb3N6 (GGA-PBE, relaxed)
# M_tot in μB per cell: 0.0
# E_form (uncorrected) in meV/atom: -1240
data_LiZr2Nb3N6
_cell_length_a 13.9284
_cell_length_b 3.1663
_cell_length_c 6.3058
_cell_angle_alpha 90.00
_cell_angle_beta 104.58
_cell_angle_gamma 90.00
_symmetry_space_group_name_H-M 'C 1 2/m 1'
_symmetry_Int_Tables_number 12
loop_
_symmetry_equiv_pos_as_xyz
'x,y,z'
'-x,-y,-z'
'-x,y,-z'
'x,-y,z'
'x+1/2,y+1/2,z'
'-x+1/2,-y+1/2,-z'
'-x+1/2,y+1/2,-z'
'x+1/2,-y+1/2,z'
loop_
_atom_site_label
_atom_site_type_symbol
_atom_site_fract_x
_atom_site_fract_y
_atom_site_fract_z
Li1 Li 0.0000 0.0000 0.0000
Zr1 Zr 0.1571 0.5000 0.3203
Nb1 Nb 0.0000 0.0000 0.5000
Nb2 Nb 0.1536 0.5000 0.8182
N1 N 0.0013 0.5000 0.7563
N2 N 0.1693 0.0000 0.0736
N3 N 0.1688 0.0000 0.5839